*i*
First-principles (PBE) data for NaAgBi2 after structural relaxation, as listed in the Alexandria database.

Calculated values
N(E_F): 1.72 states/eV/f.u.
Volume: 26.2 Å³/atom

Cell and atoms, written as POSCAR:
```
NaAgBi2
1.0
-2.5555 -3.8257 2.6186
-4.3014 -2.2411 -2.1211
0.2047 -4.9937 -1.7449
Ag Na Bi
1 1 2
direct
0.5000 0.5000 0.5000
0.0000 0.0000 0.0000
0.7500 0.7500 0.7500
0.2500 0.2500 0.2500
```


*ii*
First-principles (PBE) data for NaAgBi2 after structural relaxation, as listed in the Alexandria database.

Calculated values
N(E_F): 2.13 states/eV/f.u.
Volume: 28.4 Å³/atom

Cell and atoms, written as POSCAR:
```
NaAgBi2
1.0
-3.7286 -0.3715 -2.5851
5.1619 -1.9396 -3.1138
-1.2146 -7.8582 2.8813
Na Bi Ag
2 4 2
direct
0.0601 0.1215 0.7500
0.9399 0.8785 0.2500
0.6323 0.2670 0.0398
0.3677 0.7330 0.5398
0.6323 0.2670 0.4602
0.3677 0.7330 0.9602
0.7832 0.5643 0.7500
0.2168 0.4357 0.2500
```


*iii*
First-principles (PBE) data for NaAgBi2 after structural relaxation, as listed in the Alexandria database.

Calculated values
N(E_F): 2.31 states/eV/f.u.
Volume: 31.1 Å³/atom

Cell and atoms, written as POSCAR:
```
NaAgBi2
1.0
4.4074 0.0000 0.0000
2.2037 3.8169 0.0000
2.2037 1.2723 7.3929
Ag Bi Na
1 2 1
direct
0.0000 0.0000 0.0000
0.2714 0.2714 0.1858
0.7286 0.7286 0.8142
0.5000 0.5000 0.5000
```


Name the most stable of them. *ii*.


*i*
First-principles (PBE) data for Na3AgBi after structural relaxation, as listed in the Alexandria database.

Calculated values
N(E_F): 4.50 states/eV/f.u.
Volume: 32.8 Å³/atom

Cell and atoms, written as POSCAR:
```
Na3AgBi
1.0
-3.2618 -3.2167 2.9981
0.1311 -3.8024 -3.9369
4.3952 -2.2737 2.3424
Na Bi Ag
3 1 1
direct
0.0000 0.5000 0.0000
0.5000 0.0000 0.0000
0.0000 0.0000 0.5000
0.5000 0.5000 0.5000
0.0000 0.0000 0.0000
```


*ii*
First-principles (PBE) data for Na3AgBi after structural relaxation, as listed in the Alexandria database.

Calculated values
N(E_F): 1.51 states/eV/f.u.
Volume: 30.4 Å³/atom

Cell and atoms, written as POSCAR:
```
Na3AgBi
1.0
-6.8188 -1.4653 3.1423
6.7454 -0.4320 3.5820
1.8541 7.2551 -1.5628
Ag Na Bi
2 6 2
direct
0.0306 0.5304 0.0002
0.5302 0.0304 0.9998
0.0346 0.7996 0.2676
0.0346 0.2669 0.7350
0.5319 0.7669 0.7324
0.9755 0.7805 0.6950
0.5319 0.2996 0.2650
0.0855 0.2805 0.3050
0.4947 0.2809 0.7138
0.5671 0.7809 0.2862
```


Name the most stable of them. *ii*.


*i*
First-principles (PBE) data for Ni2Ag2Bi after structural relaxation, as listed in the Alexandria database.

Calculated values
N(E_F): 3.82 states/eV/f.u.
Volume: 17.4 Å³/atom

Cell and atoms, written as POSCAR:
```
Ni2Ag2Bi
1.0
-5.3616 0.5070 3.8321
-0.7734 -6.5609 -0.2139
2.2837 -0.3750 3.2448
Ag Ni Bi
4 4 2
direct
0.3425 0.1575 0.5000
0.1575 0.6575 0.5000
0.6575 0.8425 0.5000
0.8425 0.3425 0.5000
0.8703 0.6297 0.0000
0.1297 0.3703 0.0000
0.6297 0.1297 0.0000
0.3703 0.8703 0.0000
0.0000 0.0000 0.0000
0.5000 0.5000 0.0000
```


*ii*
First-principles (PBE) data for Ni2Ag2Bi after structural relaxation, as listed in the Alexandria database.

Calculated values
N(E_F): 4.98 states/eV/f.u.
Volume: 17.4 Å³/atom

Cell and atoms, written as POSCAR:
```
Ni2Ag2Bi
1.0
-2.0359 5.2632 -5.0812
-2.3510 -5.4652 -4.7190
-2.7592 0.1227 1.2326
Ag Ni Bi
4 4 2
direct
0.8701 0.6299 0.0000
0.3701 0.8701 0.0000
0.1299 0.3701 0.0000
0.6299 0.1299 0.0000
0.1642 0.6642 0.5000
0.8358 0.3358 0.5000
0.3358 0.1642 0.5000
0.6642 0.8358 0.5000
0.0000 0.0000 0.0000
0.5000 0.5000 0.0000
```


*iii*
First-principles (PBE) data for Ni2Ag2Bi after structural relaxation, as listed in the Alexandria database.

Calculated values
N(E_F): 4.44 states/eV/f.u.
Volume: 18.0 Å³/atom

Cell and atoms, written as POSCAR:
```
Ni2Ag2Bi
1.0
3.8649 0.0000 0.0000
0.0000 3.8649 0.0000
1.9324 1.9324 6.0267
Ni Bi Ag
2 1 2
direct
0.4025 0.4025 0.1950
0.5975 0.5975 0.8050
0.0000 0.0000 0.0000
0.2500 0.7500 0.5000
0.7500 0.2500 0.5000
```


Name the most stable of them. *i*.


*i*
First-principles (PBE) data for NiAgBi after structural relaxation, as listed in the Alexandria database.

Calculated values
N(E_F): 2.59 states/eV/f.u.
Volume: 20.5 Å³/atom

Cell and atoms, written as POSCAR:
```
NiAgBi
1.0
-0.5950 -4.0978 1.5755
3.5031 -2.5671 0.8752
1.0668 -0.9363 4.1968
Bi Ni Ag
1 1 1
direct
0.0000 0.0000 0.0000
0.2500 0.2500 0.2500
0.5000 0.5000 0.5000
```


*ii*
First-principles (PBE) data for NiAgBi after structural relaxation, as listed in the Alexandria database.

Calculated values
N(E_F): 2.59 states/eV/f.u.
Volume: 19.9 Å³/atom

Cell and atoms, written as POSCAR:
```
NiAgBi
1.0
4.3287 0.0000 0.0000
0.0000 4.3287 0.0000
0.0000 0.0000 6.3867
Bi Ni Ag
2 2 2
direct
0.0000 0.5000 0.2304
0.5000 0.0000 0.7696
0.5000 0.5000 0.5000
0.0000 0.0000 0.5000
0.5000 0.0000 0.2408
0.0000 0.5000 0.7592
```


Name the most stable of them. *ii*.


*i*
First-principles (PBE) data for Ag5BiO4 after structural relaxation, as listed in the Alexandria database.

Calculated values
N(E_F): 2.24 states/eV/f.u.
Volume: 16.2 Å³/atom

Cell and atoms, written as POSCAR:
```
Ag5BiO4
1.0
-2.7395 -2.0436 -0.6472
1.4140 -3.6385 5.5033
-2.8563 5.7796 3.1885
Ag O Bi
5 4 1
direct
0.8082 0.1849 0.6163
0.5000 0.5000 0.0000
0.1918 0.8151 0.3837
0.8221 0.6063 0.6441
0.1779 0.3937 0.3559
0.9639 0.2249 0.9278
0.6544 0.1663 0.3087
0.0361 0.7751 0.0722
0.3456 0.8337 0.6913
0.5000 0.0000 0.0000
```


*ii*
First-principles (PBE) data for Ag5BiO4 after structural relaxation, as listed in the Alexandria database.

Calculated values
N(E_F): 0.00 states/eV/f.u.
Volume: 17.4 Å³/atom

Cell and atoms, written as POSCAR:
```
Ag5BiO4
1.0
8.9858 0.0000 0.0000
0.0000 6.0168 0.0242
0.0000 5.8227 12.8969
O Ag Bi
16 20 4
direct
0.8651 0.5409 0.1203
0.1349 0.4591 0.8797
0.1358 0.0300 0.3726
0.8633 0.0669 0.9390
0.3642 0.0300 0.8726
0.6358 0.9700 0.1274
0.1367 0.9331 0.0610
0.6367 0.0669 0.4390
0.6349 0.5409 0.6203
0.5963 0.7022 0.8002
0.0963 0.2978 0.6998
0.8642 0.9700 0.6274
0.4037 0.2978 0.1998
0.3633 0.9331 0.5610
0.9037 0.7022 0.3002
0.3651 0.4591 0.3797
0.1393 0.6256 0.3462
0.0072 0.2834 0.2460
0.5000 0.5000 0.5000
0.2295 0.1197 0.6281
0.0000 0.5000 0.0000
0.7323 0.3864 0.8712
0.6393 0.3744 0.1538
0.5000 0.0000 0.0000
0.7295 0.8803 0.8719
0.2705 0.1197 0.1281
0.8607 0.3744 0.6538
0.3607 0.6256 0.8462
0.4928 0.2834 0.7460
0.7677 0.3864 0.3712
0.5072 0.7166 0.2540
0.7705 0.8803 0.3719
0.2677 0.6136 0.1288
0.0000 0.0000 0.5000
0.9928 0.7166 0.7540
0.2323 0.6136 0.6288
0.6223 0.9064 0.6199
0.1223 0.0936 0.8801
0.3777 0.0936 0.3801
0.8777 0.9064 0.1199
```


Name the most stable of them. *ii*.


*i*
First-principles (PBE) data for Ag2BiO after structural relaxation, as listed in the Alexandria database.

Calculated values
N(E_F): 2.09 states/eV/f.u.
Volume: 18.7 Å³/atom

Cell and atoms, written as POSCAR:
```
Ag2BiO
1.0
-5.0280 2.9305 -4.9661
3.1149 -4.1644 -5.6112
-2.5749 -2.5211 -4.7738
Ag O Bi
4 2 2
direct
0.3750 0.4460 0.7500
0.5540 0.1250 0.2500
0.8750 0.8040 0.7500
0.1960 0.6250 0.2500
0.5000 0.5000 0.0000
0.2500 0.7500 0.5000
0.7500 0.2500 0.5000
0.0000 0.0000 0.0000
```


*ii*
First-principles (PBE) data for Ag2BiO after structural relaxation, as listed in the Alexandria database.

Calculated values
N(E_F): 5.74 states/eV/f.u.
Volume: 18.7 Å³/atom

Cell and atoms, written as POSCAR:
```
Ag2BiO
1.0
0.0000 3.3468 3.3468
3.3468 0.0000 3.3468
3.3468 3.3468 0.0000
O Bi Ag
1 1 2
direct
0.0000 0.0000 0.0000
0.5000 0.5000 0.5000
0.2500 0.2500 0.2500
0.7500 0.7500 0.7500
```


Name the most stable of them. *i*.


*i*
First-principles (PBE) data for Ag3BiO4 after structural relaxation, as listed in the Alexandria database.

Calculated values
N(E_F): 4.07 states/eV/f.u.
Volume: 15.4 Å³/atom

Cell and atoms, written as POSCAR:
```
Ag3BiO4
1.0
3.3178 0.0000 0.0000
0.0000 5.4794 -2.7442
0.0000 -0.0293 6.7842
O Bi Ag
4 1 3
direct
0.0000 0.3325 0.2241
0.0000 0.1084 0.7759
0.0000 0.8916 0.2241
0.0000 0.6675 0.7759
0.5000 0.0000 0.0000
0.0000 0.2578 0.5156
0.0000 0.7422 0.4844
0.0000 0.5000 0.0000
```


*ii*
First-principles (PBE) data for Ag3BiO4 after structural relaxation, as listed in the Alexandria database.

Calculated values
N(E_F): 2.30 states/eV/f.u.
Volume: 15.1 Å³/atom

Cell and atoms, written as POSCAR:
```
Ag3BiO4
1.0
-0.4373 -2.8237 -1.7025
5.8514 -2.0123 1.8346
-5.1373 -1.4028 3.6462
Ag O Bi
3 4 1
direct
0.5000 0.5000 0.5000
0.0000 0.5000 0.0000
0.0000 0.0000 0.5000
0.5000 0.1980 0.8020
0.0000 0.2359 0.2359
0.0000 0.7641 0.7641
0.5000 0.8020 0.1980
0.5000 0.0000 0.0000
```


Name the most stable of them. *ii*.


*i*
First-principles (PBE) data for Ag2BiO3 after structural relaxation, as listed in the Alexandria database.

Calculated values
N(E_F): 3.27 states/eV/f.u.
Volume: 18.3 Å³/atom

Cell and atoms, written as POSCAR:
```
Ag2BiO3
1.0
-3.6671 0.8946 3.5533
-5.0743 -3.7495 -4.2928
4.8161 -2.1560 5.5130
O Ag Bi
6 4 2
direct
0.7500 0.2048 0.7952
0.2500 0.3712 0.1379
0.2500 0.8621 0.6288
0.2500 0.7952 0.2048
0.7500 0.6288 0.8621
0.7500 0.1379 0.3712
0.0000 0.2467 0.2467
0.0000 0.7533 0.7533
0.5000 0.2467 0.2467
0.5000 0.7533 0.7533
0.7500 0.7782 0.2218
0.2500 0.2218 0.7782
```


*ii*
First-principles (PBE) data for Ag2BiO3 after structural relaxation, as listed in the Alexandria database.

Calculated values
Volume: 15.9 Å³/atom

Cell and atoms, written as POSCAR:
```
Ag2BiO3
1.0
-5.6119 -2.5109 -0.3216
0.7277 -2.3741 5.8383
-3.8605 8.1427 3.7924
Ag Bi O
8 4 12
direct
0.2470 0.4994 0.9958
0.9699 0.7520 0.2513
0.7530 0.5006 0.9958
0.5301 0.2520 0.7513
0.7470 0.0006 0.4958
0.2530 0.9994 0.4958
0.0301 0.2480 0.2513
0.4699 0.7480 0.7513
0.5000 0.5000 0.3971
0.0000 0.0000 0.8971
0.5000 0.0000 0.1042
0.0000 0.5000 0.6042
0.1076 0.7751 0.7460
0.1768 0.8161 0.0585
0.3924 0.2751 0.2460
0.3232 0.3161 0.5585
0.6076 0.7249 0.2460
0.6935 0.8200 0.9328
0.8232 0.1839 0.0585
0.8065 0.3200 0.4328
0.6768 0.6839 0.5585
0.3065 0.1800 0.9328
0.1935 0.6800 0.4328
0.8924 0.2249 0.7460
```


Name the most stable of them. *ii*.